Crystalline Ce5NdPb3 at its relaxed geometry, computed with PBE-GGA.

The structure in POSCAR format:
```
Ce5NdPb3
1.0
9.659 0.000 0.000
-4.830 8.365 0.000
0.000 0.000 6.740
Ce Nd Pb
10 2 6
direct
0.000 0.339 0.250 Ce
0.000 0.661 0.750 Ce
0.333 0.667 0.000 Ce
0.333 0.667 0.500 Ce
0.339 0.000 0.250 Ce
0.339 0.339 0.750 Ce
0.661 0.000 0.750 Ce
0.661 0.661 0.250 Ce
0.667 0.333 0.000 Ce
0.667 0.333 0.500 Ce
0.000 0.000 0.000 Nd
0.000 0.000 0.500 Nd
0.000 0.329 0.750 Pb
0.000 0.671 0.250 Pb
0.329 0.000 0.750 Pb
0.329 0.329 0.250 Pb
0.671 0.000 0.250 Pb
0.671 0.671 0.750 Pb
```

Results
Spin magnetization: 8.5 μB per formula unit
Energy relative to the elements: -0.327 eV per atom
Space group: P6_3/mcm
Calculated volume: 30.26 Å³ per atom

Crystalline Pa3Mn4TlN12 at its relaxed geometry, computed with PBE-GGA.

The structure in POSCAR format:
```
Pa3Mn4TlN12
1.0
5.640 3.256 2.967
-5.640 3.256 2.967
0.000 -6.513 2.967
Pa Mn Tl N
3 4 1 12
direct
0.000 0.554 0.446 Pa
0.446 0.000 0.554 Pa
0.554 0.446 0.000 Pa
0.052 0.500 0.948 Mn
0.500 0.500 0.500 Mn
0.500 0.948 0.052 Mn
0.948 0.052 0.500 Mn
0.000 0.000 0.000 Tl
0.025 0.622 0.777 N
0.105 0.895 0.500 N
0.223 0.378 0.975 N
0.344 0.656 0.500 N
0.378 0.975 0.223 N
0.500 0.105 0.895 N
0.500 0.344 0.656 N
0.622 0.777 0.025 N
0.656 0.500 0.344 N
0.777 0.025 0.622 N
0.895 0.500 0.105 N
0.975 0.223 0.378 N
```

Results
Total energy: -8.690 eV/atom
Spin magnetization: 8.0 μB per formula unit
Space group: R32
Calculated volume: 16.35 Å³ per atom

Crystalline Ba2MnAs at its relaxed geometry, computed with PBE-GGA.

The structure in POSCAR format:
```
Ba2MnAs
1.0
3.766 0.000 0.000
0.000 3.766 0.000
0.000 0.000 9.598
Ba Mn As
2 1 1
direct
0.000 0.000 0.000 Ba
0.500 0.500 0.410 Ba
0.000 0.000 0.679 Mn
0.500 0.500 0.746 As
```

Results
Spin magnetization: 3.3 μB per formula unit
Energy relative to the elements: -0.038 eV per atom
Space group: P4mm
Calculated volume: 34.04 Å³ per atom